# 1
Here is Pu3PaGa2 after structural relaxation from Alexandria via LeMat-Bulk. Energies are from GGA-PBE.

abc: 3.783 3.783 9.363
angles: 90.00 90.00 90.00
Element x y z (fractional)
Ga  0.500  0.500  0.838
Ga  0.500  0.500  0.162
Pu  0.000  0.000  0.683
Pu  0.000  0.000  0.000
Pu  0.000  0.000  0.317
Pa  0.500  0.500  0.500

Calculated values
Energy of formation from the pure elements, eV/atom: -0.118
Crystal system: tetragonal
Space group: P4/mmm
Total energy, eV/cell: -59.25


# 2
Here is Pu2PaGa3 after structural relaxation from Alexandria via LeMat-Bulk. Energies are from GGA-PBE.

abc: 5.548 5.548 9.548
angles: 97.55 102.78 113.16
Element x y z (fractional)
Ga  0.955  0.256  0.916
Ga  0.660  0.461  0.416
Ga  0.340  0.539  0.584
Ga  0.045  0.744  0.084
Ga  0.443  0.193  0.750
Ga  0.557  0.807  0.250
Pu  0.184  0.940  0.413
Pu  0.473  0.729  0.913
Pu  0.527  0.271  0.087
Pu  0.816  0.060  0.587
Pa  0.953  0.703  0.750
Pa  0.047  0.297  0.250

Calculated values
Energy of formation from the pure elements, eV/atom: -0.282
Crystal system: monoclinic
Space group: C2/c
Total energy, eV/cell: -97.86


# 3
Here is Pu6PaGa2 after structural relaxation from Alexandria via LeMat-Bulk. Energies are from GGA-PBE.

abc: 7.847 7.863 7.847
angles: 64.11 84.21 64.11
Element x y z (fractional)
Pu  0.384  0.563  0.632
Pu  0.438  0.311  0.055
Pu  0.632  0.063  0.384
Pu  0.055  0.811  0.438
Pu  0.976  0.703  0.801
Pu  0.024  0.297  0.199
Pu  0.945  0.189  0.562
Pu  0.368  0.937  0.616
Pu  0.199  0.797  0.024
Pu  0.616  0.437  0.368
Pu  0.801  0.203  0.976
Pu  0.562  0.689  0.945
Pa  0.821  0.750  0.179
Pa  0.179  0.250  0.821
Ga  0.395  0.909  0.235
Ga  0.605  0.091  0.765
Ga  0.765  0.591  0.605
Ga  0.235  0.409  0.395

Calculated values
Energy of formation from the pure elements, eV/atom: -0.043
Crystal system: monoclinic
Space group: C2/c
Total energy, eV/cell: -203.86